ZnCo2Sn4 PBE optimized geometry; energy = -4.562 eV/atom; N(E_F) = 4.05 states/eV per cell; size of the total moment = 0.000 μB per atom; energy relative to the elements = -0.062 eV per atom; SG = R-3m (166)
1.0
-2.080 2.962 -2.236
-0.191 -0.280 -4.241
-8.130 -3.799 -1.517
Sn Co Zn
4 2 1
direct
0.608 0.608 0.175 Sn
0.799 0.799 0.602 Sn
0.392 0.392 0.825 Sn
0.201 0.201 0.398 Sn
0.096 0.096 0.712 Co
0.904 0.904 0.288 Co
0.000 0.000 0.000 Zn